#A
The following is a PBE-GGA calculation of crystalline YMg4Tl2 at its relaxed geometry, from Alexandria via LeMat-Bulk. Values from VASP.

The space group is Cmmm (65). As for the crystal system: orthorhombic. For the density of states at the Fermi level, the calculation gives 3.1 states/eV per cell.

Cell and atoms, written as Quantum ESPRESSO input:
```
&SYSTEM
  ibrav = 0, nat = 7, ntyp = 3
/
ATOMIC_SPECIES
Y 88.91 Y.upf
Mg 24.30 Mg.upf
Tl 204.38 Tl.upf
CELL_PARAMETERS angstrom
4.4418 0.0000 0.0000
0.0000 4.4615 0.0000
0.0000 -2.2307 8.8600
ATOMIC_POSITIONS angstrom
Y 0.0000 0.0000 0.0000
Mg 2.2209 0.0000 3.2840
Mg 0.0000 2.2307 3.3137
Mg 0.0000 0.0000 5.5462
Mg 2.2209 2.2307 5.5760
Tl 2.2209 2.2307 1.4291
Tl 2.2209 0.0000 7.4309
```

#B
The following is a PBE-GGA calculation of crystalline YMg4Tl2 at its relaxed geometry, from Alexandria via LeMat-Bulk. Values from VASP.

The space group is P4_2/mnm (136). As for the crystal system: tetragonal. For the density of states at the Fermi level, the calculation gives 8.5 states/eV per cell.

Cell and atoms, written as Quantum ESPRESSO input:
```
&SYSTEM
  ibrav = 0, nat = 14, ntyp = 3
/
ATOMIC_SPECIES
Mg 24.30 Mg.upf
Y 88.91 Y.upf
Tl 204.38 Tl.upf
CELL_PARAMETERS angstrom
-1.4178 -3.9004 1.9238
7.5825 -0.6702 4.2292
-3.3243 4.4998 6.6731
ATOMIC_POSITIONS angstrom
Mg -0.3927 1.4956 2.7429
Mg -0.4965 1.5949 8.3059
Mg 1.9585 3.6102 8.7627
Mg -1.5476 0.6496 5.6147
Mg 4.3880 -0.7204 7.2115
Mg 4.6509 2.3339 8.1594
Mg 3.3369 -1.6658 4.5202
Mg 2.2997 0.2194 2.1396
Y 2.1291 1.9148 5.4512
Y -0.7089 -1.9502 0.9619
Tl 5.4685 0.3318 4.7029
Tl 2.2455 0.7068 8.5262
Tl 0.5949 -0.7777 4.3000
Tl -1.2103 3.4978 6.1994
```

What are the relative energies? In meV/atom: #A 38; #B 0.

#A
The following is a PBE-GGA calculation of crystalline Mg3TlZn at its relaxed geometry, from Alexandria via LeMat-Bulk. Values from VASP.

The space group is Pm-3m (221). As for the crystal system: cubic. For the density of states at the Fermi level, the calculation gives 2.9 states/eV per cell.

Cell and atoms, written as Quantum ESPRESSO input:
```
&SYSTEM
  ibrav = 0, nat = 5, ntyp = 3
/
ATOMIC_SPECIES
Mg 24.30 Mg.upf
Zn 65.41 Zn.upf
Tl 204.38 Tl.upf
CELL_PARAMETERS angstrom
5.3738 0.0000 0.0000
0.0000 5.3738 0.0000
0.0000 0.0000 5.3738
ATOMIC_POSITIONS angstrom
Mg 2.6869 0.0000 0.0000
Mg 0.0000 0.0000 2.6869
Mg 0.0000 2.6869 0.0000
Zn 2.6869 2.6869 2.6869
Tl 0.0000 0.0000 0.0000
```

#B
The following is a PBE-GGA calculation of crystalline Mg3TlZn at its relaxed geometry, from Alexandria via LeMat-Bulk. Values from VASP.

The space group is C2/m (12). As for the crystal system: monoclinic. For the density of states at the Fermi level, the calculation gives 2.9 states/eV per cell.

Cell and atoms, written as Quantum ESPRESSO input:
```
&SYSTEM
  ibrav = 0, nat = 10, ntyp = 3
/
ATOMIC_SPECIES
Mg 24.30 Mg.upf
Zn 65.41 Zn.upf
Tl 204.38 Tl.upf
CELL_PARAMETERS angstrom
4.5133 0.0000 0.0000
-2.2566 5.1381 -0.9195
0.0000 0.5675 9.3485
ATOMIC_POSITIONS angstrom
Mg 0.0000 2.7579 6.2113
Mg 2.2566 0.9134 7.7581
Mg 0.0000 1.0599 3.3920
Mg 2.2566 2.9477 2.2177
Mg 0.0000 4.7922 0.6709
Mg 2.2566 4.6457 5.0370
Zn 0.0000 4.1398 3.4253
Zn 2.2566 1.5658 5.0037
Tl 0.0000 1.6060 0.3702
Tl 2.2566 4.0996 8.0588
```

What are the relative energies? In meV/atom: #A 434; #B 0.

#A
The following is a PBE-GGA calculation of crystalline MgTl2Zn at its relaxed geometry, from Alexandria via LeMat-Bulk. Values from VASP.

The space group is Pm (6). As for the crystal system: monoclinic. For the density of states at the Fermi level, the calculation gives 1.6 states/eV per cell.

Cell and atoms, written as Quantum ESPRESSO input:
```
&SYSTEM
  ibrav = 0, nat = 4, ntyp = 3
/
ATOMIC_SPECIES
Tl 204.38 Tl.upf
Zn 65.41 Zn.upf
Mg 24.30 Mg.upf
CELL_PARAMETERS angstrom
4.7471 0.0000 0.0000
0.0000 3.6713 -0.0246
0.0000 1.6152 5.6506
ATOMIC_POSITIONS angstrom
Tl 2.3736 1.4816 1.7511
Tl 0.0000 5.1197 5.3147
Zn 0.0000 3.3044 2.6704
Mg 2.3736 3.3104 4.3289
```

#B
The following is a PBE-GGA calculation of crystalline MgTl2Zn at its relaxed geometry, from Alexandria via LeMat-Bulk. Values from VASP.

The space group is P2/m (10). As for the crystal system: monoclinic. For the density of states at the Fermi level, the calculation gives 1.3 states/eV per cell.

Cell and atoms, written as Quantum ESPRESSO input:
```
&SYSTEM
  ibrav = 0, nat = 4, ntyp = 3
/
ATOMIC_SPECIES
Tl 204.38 Tl.upf
Mg 24.30 Mg.upf
Zn 65.41 Zn.upf
CELL_PARAMETERS angstrom
4.8423 0.0000 0.0000
0.0000 3.3666 0.0074
0.0000 1.0026 6.1458
ATOMIC_POSITIONS angstrom
Tl 0.0000 1.9615 3.0143
Tl 0.0000 0.2232 0.0623
Mg 2.4212 3.2769 4.6149
Zn 2.4212 1.0923 1.5383
```

What are the relative energies? In meV/atom: #A 0; #B 41.

#A
The following is a PBE-GGA calculation of crystalline MgTl2Zn at its relaxed geometry, from Alexandria via LeMat-Bulk. Values from VASP.

The space group is I-42d (122). As for the crystal system: tetragonal. For the density of states at the Fermi level, the calculation gives 3.6 states/eV per cell.

Cell and atoms, written as Quantum ESPRESSO input:
```
&SYSTEM
  ibrav = 0, nat = 8, ntyp = 3
/
ATOMIC_SPECIES
Zn 65.41 Zn.upf
Mg 24.30 Mg.upf
Tl 204.38 Tl.upf
CELL_PARAMETERS angstrom
-3.8632 -0.8528 2.2220
-0.2060 -4.1006 -1.9319
3.3096 -6.4113 7.9264
ATOMIC_POSITIONS angstrom
Zn 0.0000 0.0000 0.0000
Zn -1.2941 -4.8704 5.1467
Mg -2.0346 -2.4767 0.1451
Mg 0.5345 -6.4943 3.0698
Tl -1.0793 -9.1603 6.1903
Tl -1.6295 -2.6521 3.1384
Tl 0.9571 -6.6484 6.0619
Tl 0.2323 -4.2686 1.0424
```

#B
The following is a PBE-GGA calculation of crystalline MgTl2Zn at its relaxed geometry, from Alexandria via LeMat-Bulk. Values from VASP.

The space group is R3m (160). As for the crystal system: trigonal. For the density of states at the Fermi level, the calculation gives 1.2 states/eV per cell.

Cell and atoms, written as Quantum ESPRESSO input:
```
&SYSTEM
  ibrav = 0, nat = 4, ntyp = 3
/
ATOMIC_SPECIES
Zn 65.41 Zn.upf
Tl 204.38 Tl.upf
Mg 24.30 Mg.upf
CELL_PARAMETERS angstrom
4.1721 0.0000 0.0000
2.0861 3.6132 0.0000
2.0861 1.2044 7.0481
ATOMIC_POSITIONS angstrom
Zn 4.1721 2.4088 0.0034
Tl 2.0861 1.2044 5.4607
Tl 2.0861 1.2044 1.5878
Mg 4.1721 2.4088 3.5203
```

What are the relative energies? In meV/atom: #A 12; #B 0.